The following is a DFT calculation (GGA-PBE) of a relaxed LiFeRu2Cl crystal.

## Properties
**Theoretical density**: 6.38 g/cm3
**Raw total energy**: -5.333 eV/atom
**Crystal system**: tetragonal

```
data_LiFeRu2Cl
_symmetry_space_group_name_H-M 'P 1'
_symmetry_Int_Tables_number 1
_symmetry_space_group_name_Hall 'P 1'
_cell_length_a 4.4007
_cell_length_b 4.4007
_cell_length_c 4.0396
_cell_angle_alpha 90.00
_cell_angle_beta 90.00
_cell_angle_gamma 90.00
loop_
_atom_site_label
_atom_site_fract_x
_atom_site_fract_y
_atom_site_fract_z
Li1 0.0000 0.0000 0.0000
Fe1 0.5000 0.5000 0.0000
Ru1 0.0000 0.5000 0.5000
Ru2 0.5000 0.0000 0.5000
Cl1 0.0000 0.0000 0.5000
```